1.
The following is a DFT calculation (PBE) of crystalline Pr2PaO4 at its relaxed geometry.

The structure in extended XYZ format:
```
14
Lattice="-2.726 -3.294 -5.640 6.964 1.211 0.368 -2.985 -4.807 4.251" Properties=species:S:1:pos:R:3 pbc="T T T"
O 3.766 -1.319 1.152
O -1.097 -3.563 -1.829
O 2.414 -2.953 -1.644
O 0.284 -1.928 0.989
O -2.577 -5.947 0.278
O 2.256 -3.711 3.279
O 0.904 -5.345 0.483
O -1.197 -4.312 3.097
Pa 0.000 0.000 0.000
Pa 0.691 -3.067 -2.984
Pr 3.828 -0.928 -1.308
Pr -1.147 -3.937 0.634
Pr -2.510 -5.584 -2.186
Pr 2.335 -3.332 0.818
```

Computed properties:
space group: Fd-3m
total magnetic moment: 0.07 μB/atom
DFT total energy: -8.189 eV/atom

---

2.
The following is a DFT calculation (PBE) of crystalline Pa2Pt2O5 at its relaxed geometry.

The structure in extended XYZ format:
```
9
Lattice="7.129 0.000 0.000 0.000 4.063 0.000 0.000 0.000 4.063" Properties=species:S:1:pos:R:3 pbc="T T T"
O 1.901 2.031 0.000
O 5.228 2.031 0.000
O 1.901 0.000 2.031
O 5.228 0.000 2.031
O 3.564 2.031 2.031
Pa 0.000 0.000 0.000
Pa 3.564 0.000 0.000
Pt 1.321 2.031 2.031
Pt 5.807 2.031 2.031
```

Computed properties:
excess energy over the best structure of this formula in the dataset: 266 meV/atom
space group: P4/mmm
total magnetic moment: 0.23 μB/atom

---

3.
The following is a DFT calculation (PBE) of crystalline Pa2Pt2O5 at its relaxed geometry.

The structure in extended XYZ format:
```
9
Lattice="8.830 0.000 0.000 0.000 4.043 0.000 0.000 0.000 4.043" Properties=species:S:1:pos:R:3 pbc="T T T"
O 1.475 2.021 0.000
O 7.355 2.021 0.000
O 1.475 0.000 2.021
O 7.355 0.000 2.021
O 4.415 2.021 2.021
Pa 2.313 2.021 2.021
Pa 6.517 2.021 2.021
Pt 0.000 0.000 0.000
Pt 4.415 0.000 0.000
```

Computed properties:
excess energy over the best structure of this formula in the dataset: 0 meV/atom
space group: P4/mmm
total magnetic moment: 0.14 μB/atom

---

4.
The following is a DFT calculation (PBE) of crystalline Rb5PaO5 at its relaxed geometry.

The structure in extended XYZ format:
```
11
Lattice="6.486 -2.574 0.000 6.486 2.574 0.000 -2.571 0.000 7.237" Properties=species:S:1:pos:R:3 pbc="T T T"
O 6.486 0.000 0.000
O 11.027 0.000 0.937
O 0.939 0.000 1.971
O 9.462 0.000 5.266
O -0.627 0.000 6.300
Pa 0.000 0.000 0.000
Rb 3.797 0.000 1.181
Rb 8.178 0.000 2.287
Rb -1.285 0.000 3.619
Rb 2.223 0.000 4.950
Rb 6.603 0.000 6.056
```

Computed properties:
space group: C2/m
total magnetic moment: 0.00 μB/atom
DFT total energy: -5.335 eV/atom

---

5.
The following is a DFT calculation (PBE) of crystalline PaReO3 at its relaxed geometry.

The structure in extended XYZ format:
```
5
Lattice="-2.802 2.726 0.715 -0.428 -1.408 3.692 2.786 2.526 1.287" Properties=species:S:1:pos:R:3 pbc="T T T"
O -1.615 0.659 2.203
O -0.008 2.626 1.001
O 1.179 0.559 2.489
Pa 0.000 0.000 0.000
Re -0.222 1.922 2.847
```

Computed properties:
space group: Pm-3m
total magnetic moment: 0.28 μB/atom
DFT total energy: -8.391 eV/atom

---

6.
The following is a DFT calculation (PBE) of crystalline PaS2O8 at its relaxed geometry.

The structure in extended XYZ format:
```
11
Lattice="-4.391 -3.005 -0.943 -2.384 -3.139 3.696 -1.652 5.404 0.871" Properties=species:S:1:pos:R:3 pbc="T T T"
O -4.584 -2.856 1.901
O -3.380 -0.970 -0.041
O -2.306 -1.042 2.443
O -1.791 1.249 0.811
O -6.636 -1.989 2.813
O -6.121 0.302 1.182
O -5.047 0.230 3.666
O -3.843 2.116 1.724
Pa 0.000 0.000 0.000
S -5.902 -3.229 2.460
S -2.525 2.489 1.164
```

Computed properties:
space group: C2/m
total magnetic moment: 0.09 μB/atom
DFT total energy: -6.900 eV/atom

---

7.
The following is a DFT calculation (PBE) of crystalline PaSbO6 at its relaxed geometry.

The structure in extended XYZ format:
```
8
Lattice="-3.326 -3.486 -3.281 -5.169 -1.816 1.991 -4.918 2.047 -2.368" Properties=species:S:1:pos:R:3 pbc="T T T"
O -4.937 -2.601 -2.589
O -5.902 -1.726 0.171
O -7.643 -3.551 -1.546
O -5.770 0.296 -2.111
O -7.512 -1.529 -3.829
O -8.477 -0.654 -1.068
Pa -6.707 -1.627 -1.829
Sb 0.000 0.000 0.000
```

Computed properties:
space group: Fm-3m
total magnetic moment: 0.25 μB/atom
DFT total energy: -7.011 eV/atom

---

8.
The following is a DFT calculation (PBE) of crystalline PaSbO3 at its relaxed geometry.

The structure in extended XYZ format:
```
10
Lattice="-3.165 5.483 0.000 3.165 5.483 0.000 0.000 3.655 -4.972" Properties=species:S:1:pos:R:3 pbc="T T T"
O -1.034 9.225 -1.445
O 2.175 7.248 -1.445
O -1.141 5.457 -1.445
O 1.141 9.163 -3.526
O -2.175 7.372 -3.526
O 1.034 5.395 -3.526
Pa 0.000 3.655 -2.402
Pa 0.000 10.965 -2.570
Sb 0.000 7.310 -1.070
Sb 0.000 7.310 -3.902
```

Computed properties:
space group: R-3
total magnetic moment: 0.20 μB/atom
DFT total energy: -7.630 eV/atom

---

9.
The following is a DFT calculation (PBE) of crystalline PaSbO3 at its relaxed geometry.

The structure in extended XYZ format:
```
5
Lattice="-3.055 -0.590 -3.067 0.387 -4.329 0.447 -3.132 0.041 3.113" Properties=species:S:1:pos:R:3 pbc="T T T"
O -1.553 -2.457 -1.092
O -3.437 -0.270 0.364
O -1.716 -2.139 2.121
Pa -3.100 -2.436 0.445
Sb -0.148 0.002 0.147
```

Computed properties:
space group: P4mm
total magnetic moment: 0.00 μB/atom
DFT total energy: -7.377 eV/atom

---

10.
The following is a DFT calculation (PBE) of crystalline PaSbO3 at its relaxed geometry.

The structure in extended XYZ format:
```
10
Lattice="3.161 -1.825 -4.455 -3.161 -1.825 -4.455 0.000 3.650 -4.455" Properties=species:S:1:pos:R:3 pbc="T T T"
O 1.122 -1.706 -5.569
O -0.917 -1.825 -7.796
O -2.039 -0.119 -5.569
O 2.039 0.119 -7.796
O 0.917 1.825 -5.569
O -1.122 1.706 -7.796
Pa 0.000 0.000 0.000
Pa 0.000 0.000 -6.682
Sb 0.000 0.000 -3.341
Sb 0.000 0.000 -10.024
```

Computed properties:
space group: R-3c
total magnetic moment: 0.14 μB/atom
DFT total energy: -7.535 eV/atom

---

11.
The following is a DFT calculation (PBE) of crystalline PaSbO3 at its relaxed geometry.

The structure in extended XYZ format:
```
20
Lattice="6.358 0.000 0.000 0.000 6.350 0.000 0.000 0.000 8.062" Properties=species:S:1:pos:R:3 pbc="T T T"
O 4.428 2.000 0.224
O 5.109 5.176 0.224
O 0.474 2.595 2.016
O 2.705 5.770 2.016
O 4.428 2.000 3.807
O 5.109 5.176 3.807
O 1.249 1.175 4.256
O 1.930 4.350 4.256
O 3.653 0.580 6.047
O 5.884 3.756 6.047
O 1.249 1.175 7.838
O 1.930 4.350 7.838
Pa 3.179 0.000 0.000
Pa 0.000 3.175 0.000
Pa 3.179 0.000 4.031
Pa 0.000 3.175 4.031
Sb 3.536 2.775 2.016
Sb 6.001 5.950 2.016
Sb 0.357 0.401 6.047
Sb 2.822 3.576 6.047
```

Computed properties:
space group: Pnma
total magnetic moment: 0.00 μB/atom
DFT total energy: -7.580 eV/atom

---

12.
The following is a DFT calculation (PBE) of crystalline PaSeO6 at its relaxed geometry.

The structure in extended XYZ format:
```
8
Lattice="2.872 -3.344 0.000 2.872 3.344 0.000 -1.000 0.000 4.284" Properties=species:S:1:pos:R:3 pbc="T T T"
O 1.982 -1.192 0.868
O 1.982 1.192 0.868
O 4.142 0.000 1.881
O 0.602 0.000 2.403
O 2.761 -1.192 3.416
O 2.761 1.192 3.416
Pa 0.000 0.000 0.000
Se 2.372 0.000 2.142
```

Computed properties:
space group: C2/m
total magnetic moment: 0.00 μB/atom
DFT total energy: -6.572 eV/atom

---

13.
The following is a DFT calculation (PBE) of crystalline Pa2SeO4 at its relaxed geometry.

The structure in extended XYZ format:
```
7
Lattice="1.948 1.124 7.678 -1.948 1.124 7.678 0.000 -2.249 7.678" Properties=species:S:1:pos:R:3 pbc="T T T"
O 0.000 0.000 3.188
O 0.000 0.000 9.778
O 0.000 0.000 13.257
O 0.000 0.000 19.847
Pa 0.000 0.000 5.426
Pa 0.000 0.000 17.609
Se 0.000 0.000 0.000
```

Computed properties:
space group: R-3m
total magnetic moment: 0.00 μB/atom
DFT total energy: -8.556 eV/atom

---

14.
The following is a DFT calculation (PBE) of crystalline Pa2Si2O5 at its relaxed geometry.

The structure in extended XYZ format:
```
9
Lattice="8.941 0.000 0.000 0.000 3.512 0.000 0.000 0.000 3.512" Properties=species:S:1:pos:R:3 pbc="T T T"
O 2.541 1.756 0.000
O 6.400 1.756 0.000
O 2.541 0.000 1.756
O 6.400 0.000 1.756
O 4.470 1.756 1.756
Pa 0.000 0.000 0.000
Pa 4.470 0.000 0.000
Si 2.078 1.756 1.756
Si 6.862 1.756 1.756
```

Computed properties:
excess energy over the best structure of this formula in the dataset: 0 meV/atom
space group: P4/mmm
total magnetic moment: 0.41 μB/atom

---

15.
The following is a DFT calculation (PBE) of crystalline Pa2Si2O5 at its relaxed geometry.

The structure in extended XYZ format:
```
9
Lattice="8.389 0.000 0.000 0.000 4.156 0.000 0.000 0.000 4.156" Properties=species:S:1:pos:R:3 pbc="T T T"
O 2.612 2.078 0.000
O 5.777 2.078 0.000
O 2.612 0.000 2.078
O 5.777 0.000 2.078
O 4.195 2.078 2.078
Pa 2.033 2.078 2.078
Pa 6.357 2.078 2.078
Si 0.000 0.000 0.000
Si 4.195 0.000 0.000
```

Computed properties:
excess energy over the best structure of this formula in the dataset: 197 meV/atom
space group: P4/mmm
total magnetic moment: 0.13 μB/atom

---

16.
The following is a DFT calculation (PBE) of crystalline PaSi2O4 at its relaxed geometry.

The structure in extended XYZ format:
```
14
Lattice="-4.434 3.243 3.743 4.222 3.401 -3.847 -4.911 -3.526 -2.764" Properties=species:S:1:pos:R:3 pbc="T T T"
O 0.686 1.748 -3.447
O -3.635 1.436 0.352
O -1.378 3.255 -1.707
O -1.434 -0.071 -1.638
O -5.920 -0.204 -0.933
O -1.754 -0.130 -4.711
O -3.719 -1.711 -2.923
O -3.817 1.378 -2.971
Pa 0.000 0.000 0.000
Pa -2.443 3.251 0.193
Si 0.890 3.326 -1.827
Si -3.677 -0.138 -1.285
Si -5.894 1.484 0.586
Si -1.566 1.563 -3.209
```

Computed properties:
space group: Fd-3m
total magnetic moment: 0.14 μB/atom
DFT total energy: -6.926 eV/atom

---

17.
The following is a DFT calculation (PBE) of crystalline Sm2Pa2O5 at its relaxed geometry.

The structure in extended XYZ format:
```
9
Lattice="-4.287 -5.510 -6.627 3.601 -2.155 -0.538 -1.176 -2.719 3.021" Properties=species:S:1:pos:R:3 pbc="T T T"
O 0.363 -2.926 -2.492
O -1.048 -4.739 -4.673
O -2.026 -3.208 -0.712
O -3.437 -5.021 -2.893
O -0.931 -5.192 -2.072
Pa 0.073 -3.902 -0.521
Pa -1.934 -6.482 -3.623
Sm 0.000 0.000 0.000
Sm -2.143 -2.755 -3.314
```

Computed properties:
space group: P4/mmm
total magnetic moment: 0.42 μB/atom
DFT total energy: -8.089 eV/atom

---

18.
The following is a DFT calculation (PBE) of crystalline PaSnO3 at its relaxed geometry.

The structure in extended XYZ format:
```
10
Lattice="3.139 -1.812 -4.778 -3.139 -1.812 -4.778 0.000 3.624 -4.778" Properties=species:S:1:pos:R:3 pbc="T T T"
O 1.194 -1.556 -5.972
O -0.751 -1.812 -8.361
O -1.945 -0.256 -5.972
O 1.945 0.256 -8.361
O 0.751 1.812 -5.972
O -1.194 1.556 -8.361
Pa 0.000 0.000 0.000
Pa 0.000 0.000 -7.167
Sn 0.000 0.000 -3.583
Sn 0.000 0.000 -10.750
```

Computed properties:
space group: R-3c
total magnetic moment: 0.20 μB/atom
DFT total energy: -7.711 eV/atom

---

19.
The following is a DFT calculation (PBE) of crystalline PaSnO3 at its relaxed geometry.

The structure in extended XYZ format:
```
20
Lattice="-2.082 -5.408 1.258 3.468 -0.104 5.294 -6.546 3.534 4.358" Properties=species:S:1:pos:R:3 pbc="T T T"
O -0.671 -3.412 2.793
O 0.707 -4.389 5.655
O -0.290 0.047 3.790
O 1.009 -1.135 6.699
O -3.150 -2.074 4.443
O -1.772 -3.051 7.305
O -3.387 1.073 3.604
O -2.010 0.096 6.466
O -6.168 -0.843 4.210
O -4.869 -2.025 7.120
O -5.866 2.411 5.254
O -4.488 1.434 8.116
Pa -1.041 -2.704 0.629
Pa 1.734 -0.052 2.647
Pa -4.314 -0.937 2.808
Pa -1.539 1.715 4.826
Sn -3.584 -4.447 2.487
Sn -0.870 -1.956 4.542
Sn -4.289 -0.022 6.367
Sn -1.576 2.469 8.422
```

Computed properties:
space group: Pnma
total magnetic moment: 0.20 μB/atom
DFT total energy: -7.780 eV/atom

---

20.
The following is a DFT calculation (PBE) of crystalline Pa2Sn2O5 at its relaxed geometry.

The structure in extended XYZ format:
```
9
Lattice="-4.790 -7.350 0.122 2.240 -1.405 3.313 -2.756 1.840 2.644" Properties=species:S:1:pos:R:3 pbc="T T T"
O -0.342 -2.947 1.694
O -2.207 -5.809 1.741
O -2.840 -1.324 1.359
O -4.705 -4.186 1.407
O -2.653 -3.458 3.039
Pa -1.444 -1.604 3.008
Pa -3.861 -5.312 3.070
Sn 0.000 0.000 0.000
Sn -2.395 -3.675 0.061
```

Computed properties:
space group: P4/mmm
total magnetic moment: 0.12 μB/atom
DFT total energy: -7.515 eV/atom

---

21.
The following is a DFT calculation (PBE) of crystalline PaSnO3 at its relaxed geometry.

The structure in extended XYZ format:
```
10
Lattice="-3.696 -1.450 -4.817 -5.013 -3.612 0.889 -5.626 2.309 -0.423" Properties=species:S:1:pos:R:3 pbc="T T T"
O -4.184 -1.469 0.204
O -2.195 0.143 -0.955
O -4.257 -0.908 -2.549
O -10.151 -1.284 -4.554
O -10.078 -1.845 -1.801
O -12.140 -2.896 -3.395
Pa -9.830 -3.418 -3.563
Pa -4.506 0.665 -0.787
Sn -6.032 -3.043 -2.545
Sn -8.303 0.290 -1.805
```

Computed properties:
space group: R-3
total magnetic moment: 0.20 μB/atom
DFT total energy: -7.729 eV/atom

---

22.
The following is a DFT calculation (PBE) of crystalline Sr2Pa2O5 at its relaxed geometry.

The structure in extended XYZ format:
```
9
Lattice="11.009 0.000 0.000 0.000 3.792 0.000 0.000 0.000 3.792" Properties=species:S:1:pos:R:3 pbc="T T T"
O 1.295 1.896 0.000
O 9.714 1.896 0.000
O 1.295 0.000 1.896
O 9.714 0.000 1.896
O 5.504 1.896 1.896
Pa 0.000 0.000 0.000
Pa 5.504 0.000 0.000
Sr 2.647 1.896 1.896
Sr 8.362 1.896 1.896
```

Computed properties:
excess energy over the best structure of this formula in the dataset: 263 meV/atom
space group: P4/mmm
total magnetic moment: 0.15 μB/atom